(1)
PBE-GGA Li2Ir2Pt, optimized geometry; E_form = 0.11 eV per atom; E above lowest polymorph = 0.000 eV per atom; crystal system = tetragonal
1.0
6.9924 0.0000 0.0000
0.0000 6.9924 0.0000
0.0000 0.0000 2.6734
Li Ir Pt
4 4 2
Cartesian
0.7414 2.7549 0.0000
2.7549 6.2511 0.0000
4.2376 0.7414 0.0000
6.2511 4.2376 0.0000
1.3577 4.8539 1.3367
2.1385 1.3577 1.3367
4.8539 5.6347 1.3367
5.6347 2.1385 1.3367
0.0000 0.0000 0.0000
3.4962 3.4962 0.0000

=====

(2)
PBE-GGA TbZn6Cu, optimized geometry; E_form = -0.16 eV per atom; crystal system = tetragonal
1.0
4.0983 0.0000 0.0000
0.0000 4.0983 0.0000
0.0000 0.0000 8.3167
Tb Zn Cu
1 6 1
Cartesian
0.0000 0.0000 0.0000
0.0000 2.0492 2.7469
0.0000 2.0492 5.5698
2.0492 0.0000 2.7469
2.0492 0.0000 5.5698
2.0492 2.0492 1.2077
2.0492 2.0492 7.1090
0.0000 0.0000 4.1584

=====

(3)
PBE-GGA AcAl2O6, optimized geometry; crystal system = trigonal
1.0
5.2189 0.0000 0.0000
-2.6094 4.5197 0.0000
0.0000 0.0000 4.9078
Ac Al O
1 2 6
Cartesian
0.0000 0.0000 0.0000
0.0000 3.0131 2.4539
2.6094 1.5066 2.4539
-1.0087 1.7471 3.4465
-1.6008 2.7726 1.4613
2.0173 0.0000 3.4465
1.0087 1.7471 1.4613
3.2015 0.0000 1.4613
1.6008 2.7726 3.4465

=====

(4)
PBE-GGA CrCdPb2, optimized geometry; E_form = 0.40 eV per atom; crystal system = trigonal
1.0
1.7482 1.0093 9.6999
-1.7482 1.0093 9.6999
0.0000 -2.0187 9.6999
Cr Cd Pb
1 1 2
Cartesian
0.0000 0.0000 0.0000
0.0000 0.0000 14.5499
0.0000 0.0000 7.4544
0.0000 0.0000 21.6454

=====

no.,raw total energy (eV for the cell shown),total moment (μB per atom)
1,-54.1,0.00
2,-17.7,0.00
3,-62.1,0.33
4,-16.3,1.00